Below is SrCoRe2 after structural relaxation, with properties calculated at the PBE-GGA level.

Unit cell a=4.5446 b=4.5446 c=4.5446 alpha=60.00 beta=60.00 gamma=60.00
Fractional coordinates of all 4 atoms:
Re (0.7500, 0.7500, 0.7500)
Re (0.0000, 0.0000, 0.0000)
Sr (0.5000, 0.5000, 0.5000)
Co (0.2500, 0.2500, 0.2500)

Values from the calculation:
Mass density   13.0 Mg/m³
Calculated total energy   -7.434 eV/atom